! PrHgMoO5, relaxed, DFT PBE+U; values from VASP
&SYSTEM
  ibrav = 0, nat = 16, ntyp = 4
/
ATOMIC_SPECIES
O 16.00 O.upf
Hg 200.59 Hg.upf
Pr 140.91 Pr.upf
Mo 95.94 Mo.upf
ATOMIC_POSITIONS angstrom
O 1.059 4.159 6.125
Hg -2.424 5.382 2.407
Hg -1.667 -0.556 3.890
O -0.504 -1.612 5.454
O -2.283 0.340 0.803
O -1.808 4.486 5.494
Pr 0.000 0.000 0.000
O -3.464 3.015 0.504
Mo -3.749 1.335 1.088
O -3.586 6.438 0.842
Pr 1.484 3.904 1.532
O -5.149 0.667 0.172
O -0.627 1.811 5.793
O 0.032 3.489 3.453
Mo -0.341 3.491 5.209
O -4.123 1.337 2.843
CELL_PARAMETERS angstrom
-6.220 0.953 -2.005
-0.838 -3.934 5.238
2.967 7.807 3.064
! space group: C2/c (15)
! theoretical density: 5.11 g cm⁻³
! VASP energy: -6.43 eV per atom

---

! HgMo2PtO8, relaxed, DFT PBE+U; values from VASP
&SYSTEM
  ibrav = 0, nat = 12, ntyp = 4
/
ATOMIC_SPECIES
Hg 200.59 Hg.upf
O 16.00 O.upf
Pt 195.08 Pt.upf
Mo 95.94 Mo.upf
ATOMIC_POSITIONS angstrom
Hg 0.821 3.297 2.889
O -2.976 6.225 5.729
O -0.039 5.544 5.671
O -1.043 1.682 0.160
O -3.980 2.363 0.218
O -2.038 3.664 4.901
Pt 0.000 0.000 0.000
Mo -1.722 4.932 6.012
O -1.981 4.243 0.987
O -1.853 4.228 7.689
Mo -2.297 2.975 -0.123
O -2.167 3.679 -1.800
CELL_PARAMETERS angstrom
-2.166 3.850 -3.779
-3.496 -2.537 3.890
1.642 6.595 5.777
! space group: P-3m1 (164)
! theoretical density: 4.55 g cm⁻³
! VASP energy: -6.05 eV per atom